1.
Computed, not measured: a relaxed K3Rh2Cl8 crystal at the PBE level of DFT.

Properties
E in eV/atom: -3.478
Symmetry: R-3m
Uncorrected formation energy in eV per atom: -0.957
Total magnetization in Bohr magnetons per cell: 5.1

abc: 9.085 9.085 9.085
angles: 49.02 49.02 49.02
Fractional positions:
K 0.000 0.000 0.000
K 0.218 0.218 0.218
K 0.782 0.782 0.782
Rh 0.447 0.447 0.447
Rh 0.553 0.553 0.553
Cl 0.196 0.736 0.736
Cl 0.264 0.264 0.804
Cl 0.264 0.804 0.264
Cl 0.343 0.343 0.343
Cl 0.657 0.657 0.657
Cl 0.736 0.196 0.736
Cl 0.736 0.736 0.196
Cl 0.804 0.264 0.264

2.
Computed, not measured: a relaxed KRhCl4 crystal at the PBE level of DFT.

Properties
E in eV/atom: -3.651
Symmetry: C2/c
Uncorrected formation energy in eV per atom: -1.012
Total magnetization in Bohr magnetons per cell: 0.0

abc: 7.584 7.584 7.219
angles: 103.45 103.45 105.75
Fractional positions:
K 0.137 0.863 0.750
K 0.863 0.137 0.250
Rh 0.500 0.500 0.250
Rh 0.500 0.500 0.750
Cl 0.219 0.222 0.612
Cl 0.222 0.219 0.112
Cl 0.371 0.628 0.501
Cl 0.372 0.629 0.999
Cl 0.628 0.371 0.001
Cl 0.629 0.372 0.499
Cl 0.778 0.781 0.888
Cl 0.781 0.778 0.388